Entry 1:
DFT (GGA-PBEsol) results for an optimized crystal structure of LiTcBr.

Cell: 4.247 4.247 4.247 Å, 60.00 60.00 60.00°
Element x y z (fractional)
Li (0.000, 0.000, 0.000)
Tc (0.750, 0.750, 0.750)
Br (0.250, 0.250, 0.250)

Results
Energy above the most stable polymorph in this dataset (eV/atom): 0.631
Total moment (μB per formula unit): 3.2
DFT total energy (eV per cell): -11.7
Raw formation energy (kJ per mole of atoms): 109.14
ρ (g cm⁻³): 5.666

---

Entry 2:
DFT (GGA-PBEsol) results for an optimized crystal structure of NaGa2Pt2.

Cell: 7.609 7.609 2.767 Å, 90.00 90.00 90.00°
Element x y z (fractional)
Na (0.000, 0.000, 0.000)
Na (0.500, 0.500, 0.000)
Ga (0.153, 0.347, 0.500)
Ga (0.347, 0.847, 0.500)
Ga (0.653, 0.153, 0.500)
Ga (0.847, 0.653, 0.500)
Pt (0.144, 0.644, 0.000)
Pt (0.356, 0.144, 0.000)
Pt (0.644, 0.856, 0.000)
Pt (0.856, 0.356, 0.000)

Results
Energy above the most stable polymorph in this dataset (eV/atom): 0.000
Total moment (μB per formula unit): 0.0
DFT total energy (eV per cell): -49.9
ρ (g cm⁻³): 11.458
Energy of formation from the pure elements (kJ/mol of formula units): -285

---

Entry 3:
DFT (GGA-PBEsol) results for an optimized crystal structure of FeCuPt2.

Cell: 4.515 4.515 2.723 Å, 90.00 90.00 105.38°
Element x y z (fractional)
Fe (0.000, 0.000, 0.000)
Cu (0.500, 0.500, 0.000)
Pt (0.000, 0.500, 0.500)
Pt (0.500, 0.000, 0.500)

Results
Total moment (μB per formula unit): 3.6
DFT total energy (eV per cell): -27.8
ρ (g cm⁻³): 15.810
Energy of formation from the pure elements (kJ/mol of formula units): -52